Record 1
This record from the Alexandria database describes a geometry-optimized Ta2CoP structure. The functional is GGA-PBE.

Cell and atoms, written as POSCAR:
```
Ta2CoP
1.0
6.6912 0.0000 0.0000
0.0000 6.6912 0.0000
3.3456 3.3456 2.7972
P Co Ta
2 2 4
Direct
0.5000 0.5000 0.0000
0.2500 0.7500 0.5000
0.0000 0.0000 0.0000
0.7500 0.2500 0.5000
0.6263 0.1250 0.2500
0.1237 0.6250 0.2500
0.3750 0.3737 0.7500
0.8750 0.8763 0.7500
```

## Properties
Formation enthalpy at 0 K ... -16 meV per atom
DFT total energy ... -72.57 eV for the cell shown


Record 2
This record from the Alexandria database describes a geometry-optimized Rb2NaPrI6 structure. The functional is GGA-PBE.

Cell and atoms, written as POSCAR:
```
Rb2NaPrI6
1.0
8.5151 0.0000 0.0513
0.0000 8.9895 0.0000
0.1481 0.0000 12.1831
Rb Na Pr I
4 2 2 12
Direct
0.0292 0.9188 0.2538
0.5292 0.5812 0.7538
0.9708 0.0812 0.7462
0.4708 0.4188 0.2462
0.5000 0.0000 0.0000
0.0000 0.5000 0.5000
0.5000 0.0000 0.5000
0.0000 0.5000 0.0000
0.3002 0.6931 0.0508
0.8002 0.8069 0.5508
0.6998 0.3069 0.9492
0.1998 0.1931 0.4492
0.3123 0.7052 0.4489
0.8123 0.7948 0.9489
0.6877 0.2948 0.5511
0.1877 0.2052 0.0511
0.8952 0.5228 0.2485
0.3952 0.9772 0.7485
0.1048 0.4772 0.7515
0.6048 0.0228 0.2515
```

## Properties
DFT total energy ... -63.32 eV for the cell shown


Record 3
This record from the Alexandria database describes a geometry-optimized Ac8Sn4Pb3 structure. The functional is GGA-PBE.

Cell and atoms, written as POSCAR:
```
Ac8Sn4Pb3
1.0
9.6535 -0.1312 -0.1884
-4.7073 8.4568 0.1657
-4.7073 -2.7804 7.9884
Ac Sn Pb
8 4 3
Direct
0.4798 0.2373 0.2373
0.0000 0.7597 0.2403
0.9950 0.2381 0.2381
0.5000 0.7524 0.2476
0.5000 0.2476 0.7524
0.0050 0.7619 0.7619
0.0000 0.2403 0.7597
0.5202 0.7627 0.7627
0.5000 0.0000 0.0000
0.0000 0.5000 0.0000
0.0000 0.0000 0.0000
0.0000 0.0000 0.5000
0.5000 0.5000 0.0000
0.5000 0.0000 0.5000
0.5000 0.5000 0.5000
```

## Properties
Formation enthalpy at 0 K ... -435 meV per atom
DFT total energy ... -66.53 eV for the cell shown


Record 4
This record from the Alexandria database describes a geometry-optimized Zn2Cd2SbO6 structure. The functional is GGA-PBE.

Cell and atoms, written as POSCAR:
```
Zn2Cd2SbO6
1.0
-3.5181 2.4259 3.3483
1.6004 -5.0957 0.9723
4.2695 1.9301 3.0876
Zn Cd Sb O
2 2 1 6
Direct
0.3333 0.6667 0.9999
0.6667 0.3333 0.0001
0.3333 0.6667 0.4998
0.6667 0.3333 0.5002
0.0000 0.0000 0.0000
0.3234 0.3234 0.7965
0.0000 0.6766 0.7965
0.6766 0.0000 0.7965
0.6766 0.6766 0.2035
0.0000 0.3234 0.2035
0.3234 0.0000 0.2035
```

## Properties
DFT total energy ... -50.72 eV for the cell shown


Record 5
This record from the Alexandria database describes a geometry-optimized MgCdAg2Hg structure. The functional is GGA-PBE.

Cell and atoms, written as POSCAR:
```
MgCdAg2Hg
1.0
4.7976 0.0000 0.0000
0.0000 7.7314 0.2391
0.0000 -1.5450 5.8895
Mg Cd Ag Hg
2 2 4 2
Direct
0.2500 0.7792 0.9353
0.7500 0.2208 0.0647
0.2500 0.7874 0.4472
0.7500 0.2126 0.5528
0.7500 0.5508 0.3948
0.2500 0.4492 0.6052
0.7500 0.5482 0.8878
0.2500 0.4518 0.1122
0.2500 0.1080 0.7950
0.7500 0.8920 0.2050
```

## Properties
Formation enthalpy at 0 K ... -28 meV per atom
DFT total energy ... -17.31 eV for the cell shown


Record 6
This record from the Alexandria database describes a geometry-optimized PuMgO2 structure. The functional is GGA-PBE.

Cell and atoms, written as POSCAR:
```
PuMgO2
1.0
3.1951 0.0000 0.0000
1.5975 2.7670 0.0000
1.5975 0.9223 5.7352
Mg O Pu
1 2 1
Direct
0.0000 0.0000 0.0000
0.2656 0.2656 0.2031
0.7344 0.7344 0.7969
0.5000 0.5000 0.5000
```

## Properties
DFT total energy ... -35.44 eV for the cell shown


Record 7
This record from the Alexandria database describes a geometry-optimized AgSbPb structure. The functional is GGA-PBE.

Cell and atoms, written as POSCAR:
```
AgSbPb
1.0
4.5661 0.0000 -0.0009
0.0000 4.5656 0.0000
-0.0331 0.0000 7.8127
Pb Sb Ag
2 2 2
Direct
0.7470 0.2500 0.6680
0.2530 0.7500 0.3320
0.7523 0.2500 0.2416
0.2477 0.7500 0.7584
0.2508 0.2500 0.0000
0.7492 0.7500 0.0000
```

## Properties
DFT total energy ... -21.23 eV for the cell shown


Record 8
This record from the Alexandria database describes a geometry-optimized HoRu2Pb structure. The functional is GGA-PBE.

Cell and atoms, written as POSCAR:
```
HoRu2Pb
1.0
-0.6354 2.9851 1.5810
-2.1782 -2.2743 3.4186
4.0151 -0.3700 2.3121
Pb Ru Ho
1 2 1
Direct
0.5000 0.0000 0.0000
0.0000 0.0000 0.5000
0.0000 0.5000 0.0000
0.5000 0.5000 0.5000
```

## Properties
Formation enthalpy at 0 K ... -106 meV per atom
DFT total energy ... -27.26 eV for the cell shown


Record 9
This record from the Alexandria database describes a geometry-optimized TaV4Mo4 structure. The functional is GGA-PBE.

Cell and atoms, written as POSCAR:
```
TaV4Mo4
1.0
5.3434 0.0000 0.0000
0.0000 5.3434 0.0000
0.0000 0.0000 10.0605
Ta V Mo
2 8 8
Direct
0.0000 0.0000 0.0000
0.5000 0.5000 0.5000
0.2240 0.5000 0.9407
0.7760 0.5000 0.9407
0.5000 0.7760 0.0593
0.5000 0.2240 0.0593
0.0000 0.7240 0.4407
0.0000 0.2760 0.4407
0.2760 0.0000 0.5593
0.7240 0.0000 0.5593
0.5000 0.7493 0.7666
0.5000 0.2507 0.7666
0.7493 0.5000 0.2334
0.2507 0.5000 0.2334
0.2493 0.0000 0.2666
0.7507 0.0000 0.2666
0.0000 0.2493 0.7334
0.0000 0.7507 0.7334
```

## Properties
Formation enthalpy at 0 K ... 473 meV per atom
DFT total energy ... -174.79 eV for the cell shown


Record 10
This record from the Alexandria database describes a geometry-optimized LiMgH3 structure. The functional is GGA-PBE.

Cell and atoms, written as POSCAR:
```
LiMgH3
1.0
4.9683 -0.0014 0.0012
2.4830 4.3044 0.0006
2.4849 1.4343 4.4221
Li Mg H
2 2 6
Direct
0.3567 0.3568 0.9294
0.6433 0.6432 0.0706
0.8536 0.8535 0.4391
0.1464 0.1465 0.5609
0.7572 0.4493 0.7462
0.0470 0.7574 0.7463
0.4491 0.0473 0.7463
0.2428 0.5507 0.2538
0.9530 0.2426 0.2537
0.5509 0.9527 0.2537
```

## Properties
DFT total energy ... -29.86 eV for the cell shown


Which value of DFT total energy does entry 2 give?
-63.32 eV for the cell shown